(1)
A plane-wave DFT calculation with GGA-PBE was carried out for a relaxed SmTm3In4 crystal.

As for the formation energy: -439.2 meV/atom.

CIF file:
```
data_SmTm3In4
_cell_length_a 10.704
_cell_length_b 7.163
_cell_length_c 5.478
_cell_angle_alpha 90.00
_cell_angle_beta 90.00
_cell_angle_gamma 90.00
_space_group_name_H-M_alt 'P m m a'
_space_group_IT_number 51
_space_group_name_Hall '-P 2a 2a'
loop_
_atom_site_label
_atom_site_fract_x
_atom_site_fract_y
_atom_site_fract_z
Sm1 0.000 0.000 0.000
Tm1 0.000 0.500 0.000
Tm2 0.250 0.000 0.427
Tm3 0.250 0.500 0.415
In1 0.000 0.257 0.500
In2 0.250 0.257 0.912
```

(2)
A plane-wave DFT calculation with GGA-PBE was carried out for a relaxed AlPdCl3 crystal.

As for the uncorrected formation energy: -0.41 eV per atom.

CIF file:
```
data_AlPdCl3
_cell_length_a 4.745
_cell_length_b 4.745
_cell_length_c 4.745
_cell_angle_alpha 90.00
_cell_angle_beta 90.00
_cell_angle_gamma 90.00
_space_group_name_H-M_alt 'P m -3 m'
_space_group_IT_number 221
_space_group_name_Hall '-P 4 2 3'
loop_
_atom_site_label
_atom_site_fract_x
_atom_site_fract_y
_atom_site_fract_z
Al1 0.000 0.000 0.000
Pd1 0.500 0.500 0.500
Cl1 0.000 0.000 0.500
```

(3)
A plane-wave DFT calculation with GGA-PBE was carried out for a relaxed Ge3TePt crystal.

As for the uncorrected formation energy: 0.15 eV per atom.

CIF file:
```
data_Ge3TePt
_cell_length_a 4.950
_cell_length_b 4.950
_cell_length_c 4.950
_cell_angle_alpha 90.00
_cell_angle_beta 90.00
_cell_angle_gamma 90.00
_space_group_name_H-M_alt 'P m -3 m'
_space_group_IT_number 221
_space_group_name_Hall '-P 4 2 3'
loop_
_atom_site_label
_atom_site_fract_x
_atom_site_fract_y
_atom_site_fract_z
Ge1 0.000 0.000 0.500
Te1 0.500 0.500 0.500
Pt1 0.000 0.000 0.000
```

(4)
A plane-wave DFT calculation with GGA-PBE was carried out for a relaxed GaTcPd2 crystal.

As for the formation energy: 211.4 meV/atom.

CIF file:
```
data_GaTcPd2
_cell_length_a 3.742
_cell_length_b 3.742
_cell_length_c 18.428
_cell_angle_alpha 90.00
_cell_angle_beta 90.00
_cell_angle_gamma 90.00
_space_group_name_H-M_alt 'I -4 2 d'
_space_group_IT_number 122
_space_group_name_Hall 'I -4 2bw'
loop_
_atom_site_label
_atom_site_fract_x
_atom_site_fract_y
_atom_site_fract_z
Ga1 0.000 0.000 0.000
Tc1 0.000 0.000 0.500
Pd1 0.249 0.250 0.125
```

(5)
A plane-wave DFT calculation with GGA-PBE was carried out for a relaxed LaTa4N6 crystal.

As for the uncorrected formation energy: -1.17 eV per atom.

CIF file:
```
data_LaTa4N6
_cell_length_a 3.178
_cell_length_b 10.391
_cell_length_c 15.855
_cell_angle_alpha 90.00
_cell_angle_beta 90.00
_cell_angle_gamma 90.00
_space_group_name_H-M_alt 'C m c m'
_space_group_IT_number 63
_space_group_name_Hall '-C 2c 2'
loop_
_atom_site_label
_atom_site_fract_x
_atom_site_fract_y
_atom_site_fract_z
La1 0.000 0.153 0.250
Ta1 0.000 0.103 0.628
Ta2 0.000 0.354 0.542
N1 0.000 0.000 0.000
N2 0.000 0.156 0.750
N3 0.000 0.263 0.092
N4 0.000 0.469 0.652
```

(6)
A plane-wave DFT calculation with GGA-PBE was carried out for a relaxed LaTaMoOs crystal.

As for the formation energy: 329.9 meV/atom.

CIF file:
```
data_LaTaMoOs
_cell_length_a 3.010
_cell_length_b 3.612
_cell_length_c 7.614
_cell_angle_alpha 90.00
_cell_angle_beta 90.18
_cell_angle_gamma 90.00
_space_group_name_H-M_alt 'P 1 m 1'
_space_group_IT_number 6
_space_group_name_Hall 'P -2y'
loop_
_atom_site_label
_atom_site_fract_x
_atom_site_fract_y
_atom_site_fract_z
La1 0.000 0.000 0.000
Ta1 0.503 0.500 0.330
Mo1 0.499 0.500 0.683
Os1 0.998 0.000 0.512
```

Mass density for the records above, in order: 8.8 3.7 7.4 9.8 12.0 12.2 g/cm³